# CdGaHg3

A geometry-optimized CdGaHg3 structure (GGA-PBE, the Alexandria database).

Fermi-level density of states, states/eV/f.u.: 1.96
Energy above the lowest structure with this stoichiometry, eV/atom: 0.0908
Calculated formation energy, eV per atom: 0.133

abc: 5.3760 5.3760 5.3760
angles: 90.00 90.00 90.00
Atoms (fractional coordinates):
Cd 0.0000 0.0000 0.0000
Ga 0.5000 0.5000 0.5000
Hg 0.0000 0.5000 0.5000
Hg 0.5000 0.0000 0.5000
Hg 0.5000 0.5000 0.0000

***

# Pm7DySc2

A geometry-optimized Pm7DySc2 structure (GGA-PBE, the Alexandria database).

Fermi-level density of states, states/eV/f.u.: 13.68
Energy above the lowest structure with this stoichiometry, eV/atom: 0.5512
Calculated formation energy, eV per atom: 0.609

abc: 8.9068 8.9068 5.5884
angles: 90.00 90.00 119.55
Atoms (fractional coordinates):
Pm 0.0000 0.0000 0.0000
Pm 0.1965 0.4380 0.0000
Pm 0.2534 0.7466 0.5000
Pm 0.4380 0.1965 0.0000
Pm 0.5620 0.8035 0.0000
Pm 0.7466 0.2534 0.5000
Pm 0.8035 0.5620 0.0000
Dy 0.5000 0.5000 0.5000
Sc 0.2034 0.7966 0.0000
Sc 0.7966 0.2034 0.0000

***

# Mn6Pd12Pt

A geometry-optimized Mn6Pd12Pt structure (GGA-PBE, the Alexandria database).

Fermi-level density of states, states/eV/f.u.: 19.29
Calculated formation energy, eV per atom: 0.196

abc: 6.6276 6.6276 6.6276
angles: 99.31 99.31 99.31
Atoms (fractional coordinates):
Mn 0.0275 0.7911 0.2017
Mn 0.2017 0.0275 0.7911
Mn 0.2089 0.7983 0.9725
Mn 0.7911 0.2017 0.0275
Mn 0.7983 0.9725 0.2089
Mn 0.9725 0.2089 0.7983
Pd 0.1428 0.4376 0.1731
Pd 0.1624 0.6631 0.5724
Pd 0.1731 0.1428 0.4376
Pd 0.3369 0.4276 0.8376
Pd 0.4276 0.8376 0.3369
Pd 0.4376 0.1731 0.1428
Pd 0.5624 0.8269 0.8572
Pd 0.5724 0.1624 0.6631
Pd 0.6631 0.5724 0.1624
Pd 0.8269 0.8572 0.5624
Pd 0.8376 0.3369 0.4276
Pd 0.8572 0.5624 0.8269
Pt 0.5000 0.5000 0.5000

***

# AgB2Ir2

A geometry-optimized AgB2Ir2 structure (GGA-PBE, the Alexandria database).

Fermi-level density of states, states/eV/f.u.: 1.83
Energy above the lowest structure with this stoichiometry, eV/atom: 0.2509
Calculated formation energy, eV per atom: 0.176

abc: 6.5261 6.5261 2.7315
angles: 90.00 90.00 90.00
Atoms (fractional coordinates):
Ag 0.0000 0.0000 0.0000
Ag 0.5000 0.5000 0.0000
B 0.1393 0.3607 0.0000
B 0.3607 0.8607 0.0000
B 0.6393 0.1393 0.0000
B 0.8607 0.6393 0.0000
Ir 0.1483 0.6483 0.5000
Ir 0.3517 0.1483 0.5000
Ir 0.6483 0.8517 0.5000
Ir 0.8517 0.3517 0.5000

***

# ErSc3Tl4Te8

A geometry-optimized ErSc3Tl4Te8 structure (GGA-PBE, the Alexandria database).

Raw formation energy, eV/atom: -0.95

abc: 9.5391 9.5391 9.5391
angles: 53.69 53.69 53.69
Atoms (fractional coordinates):
Er 0.0000 0.0000 0.0000
Sc 0.0000 0.5000 0.5000
Sc 0.5000 0.0000 0.5000
Sc 0.5000 0.5000 0.0000
Tl 0.0000 0.0000 0.5000
Tl 0.0000 0.5000 0.0000
Tl 0.5000 0.0000 0.0000
Tl 0.5000 0.5000 0.5000
Te 0.2396 0.2396 0.7268
Te 0.2396 0.7268 0.2396
Te 0.2662 0.2662 0.2662
Te 0.2732 0.7604 0.7604
Te 0.7268 0.2396 0.2396
Te 0.7338 0.7338 0.7338
Te 0.7604 0.2732 0.7604
Te 0.7604 0.7604 0.2732

***

# Mg2TaAg

A geometry-optimized Mg2TaAg structure (GGA-PBE, the Alexandria database).

Fermi-level density of states, states/eV/f.u.: 2.67
Energy above the lowest structure with this stoichiometry, eV/atom: 0.1845
Calculated formation energy, eV per atom: 0.245

abc: 5.4512 5.4512 2.7839
angles: 90.00 90.00 112.47
Atoms (fractional coordinates):
Mg 0.0000 0.5000 0.0000
Mg 0.5000 0.0000 0.0000
Ta 0.0000 0.0000 0.5000
Ag 0.5000 0.5000 0.5000

***

# BaSm2

A geometry-optimized BaSm2 structure (GGA-PBE, the Alexandria database).

Fermi-level density of states, states/eV/f.u.: 4.84
Energy above the lowest structure with this stoichiometry, eV/atom: 0.0000
Calculated formation energy, eV per atom: 0.149

abc: 8.8187 8.8187 8.8187
angles: 155.06 155.06 35.56
Atoms (fractional coordinates):
Ba 0.0000 0.0000 0.0000
Sm 0.3186 0.3186 0.0000
Sm 0.6814 0.6814 0.0000

***

# K3BaTe

A geometry-optimized K3BaTe structure (GGA-PBE, the Alexandria database).

Fermi-level density of states, states/eV/f.u.: 5.01
Energy above the lowest structure with this stoichiometry, eV/atom: 0.0000
Raw formation energy, eV/atom: -0.34

abc: 6.8094 6.8094 6.8094
angles: 90.00 90.00 90.00
Atoms (fractional coordinates):
K 0.0000 0.0000 0.5000
K 0.0000 0.5000 0.0000
K 0.5000 0.0000 0.0000
Ba 0.5000 0.5000 0.5000
Te 0.0000 0.0000 0.0000

***

no.,DFT total energy (eV/atom)
1,-0.836
2,-4.443
3,-6.297
4,-6.609
5,-4.584
6,-4.228
7,-3.638
8,-2.012